# 1
ZrCrCd | SCAN | single point on PBEsol structure

```
data_ZrCrCd
_symmetry_space_group_name_H-M 'F -4 3 m'
_symmetry_Int_Tables_number 216
_symmetry_space_group_name_Hall 'F -4 2 3'
_cell_length_a 6.489
_cell_length_b 6.489
_cell_length_c 6.489
_cell_angle_alpha 90.00
_cell_angle_beta 90.00
_cell_angle_gamma 90.00
loop_
_atom_site_label
_atom_site_type_symbol
_atom_site_fract_x
_atom_site_fract_y
_atom_site_fract_z
Zr1 Zr 0.000 0.000 0.000
Cr1 Cr 0.250 0.250 0.750
Cd1 Cd 0.250 0.250 0.250
```

## Properties
* density of states at the Fermi level: 6.46 states/eV/cell
* distance to the lowest polymorph of the same formula: 714 meV/atom
* formation energy: 727 meV per atom

***

# 2
Sc2CoBr | SCAN | single point on PBEsol structure

```
data_Sc2CoBr
_symmetry_space_group_name_H-M 'F -4 3 m'
_symmetry_Int_Tables_number 216
_symmetry_space_group_name_Hall 'F -4 2 3'
_cell_length_a 6.524
_cell_length_b 6.524
_cell_length_c 6.524
_cell_angle_alpha 90.00
_cell_angle_beta 90.00
_cell_angle_gamma 90.00
loop_
_atom_site_label
_atom_site_type_symbol
_atom_site_fract_x
_atom_site_fract_y
_atom_site_fract_z
Sc1 Sc 0.000 0.000 0.000
Sc2 Sc 0.250 0.250 0.250
Co1 Co 0.250 0.250 0.750
Br1 Br 0.000 0.000 0.500
```

## Properties
* ΔE_f (raw): 2.1 eV per formula unit
* density of states at the Fermi level: 21.35 states/eV/cell
* distance to the lowest polymorph of the same formula: 870 meV/atom

***

# 3
CrCoCu | SCAN | single point on PBEsol structure

```
data_CrCoCu
_symmetry_space_group_name_H-M 'I 4 m m'
_symmetry_Int_Tables_number 107
_symmetry_space_group_name_Hall 'I 4 -2'
_cell_length_a 2.904
_cell_length_b 2.904
_cell_length_c 7.838
_cell_angle_alpha 90.00
_cell_angle_beta 90.00
_cell_angle_gamma 90.00
loop_
_atom_site_label
_atom_site_type_symbol
_atom_site_fract_x
_atom_site_fract_y
_atom_site_fract_z
Cr1 Cr 0.000 0.000 0.000
Co1 Co 0.000 0.000 0.349
Cu1 Cu 0.000 0.000 0.676
```

## Properties
* density of states at the Fermi level: 2.95 states/eV/cell
* formation energy: 249 meV per atom

***

# 4
KCuMo2 | SCAN | single point on PBEsol structure

```
data_KCuMo2
_symmetry_space_group_name_H-M 'P m m m'
_symmetry_Int_Tables_number 47
_cell_length_a 2.565
_cell_length_b 5.011
_cell_length_c 5.465
_cell_angle_alpha 90.00
_cell_angle_beta 90.00
_cell_angle_gamma 90.00
loop_
_symmetry_equiv_pos_as_xyz
'x,y,z'
'-x,-y,-z'
'-x,-y,z'
'x,y,-z'
'x,-y,-z'
'-x,y,z'
'-x,y,-z'
'x,-y,z'
loop_
_atom_site_label
_atom_site_type_symbol
_atom_site_fract_x
_atom_site_fract_y
_atom_site_fract_z
K1 K 0.000 0.000 0.000
Cu1 Cu 0.500 0.500 0.000
Mo1 Mo 0.000 0.500 0.500
Mo2 Mo 0.500 0.000 0.500
```

## Properties
* density of states at the Fermi level: 2.67 states/eV/cell
* distance to the lowest polymorph of the same formula: 318 meV/atom
* formation energy: 1265 meV per atom

***

# 5
Sr2LiBi | SCAN | single point on PBEsol structure

```
data_Sr2LiBi
_symmetry_space_group_name_H-M 'I -4 2 d'
_symmetry_Int_Tables_number 122
_symmetry_space_group_name_Hall 'I -4 2bw'
_cell_length_a 5.279
_cell_length_b 5.279
_cell_length_c 22.486
_cell_angle_alpha 90.00
_cell_angle_beta 90.00
_cell_angle_gamma 90.00
loop_
_atom_site_label
_atom_site_type_symbol
_atom_site_fract_x
_atom_site_fract_y
_atom_site_fract_z
Sr1 Sr 0.233 0.250 0.125
Li1 Li 0.000 0.000 0.500
Bi1 Bi 0.000 0.000 0.000
```

## Properties
* density of states at the Fermi level: 9.09 states/eV/cell
* formation energy: -78 meV per atom

***

# 6
CrRh2 | SCAN | single point on PBEsol structure

```
data_CrRh2
_symmetry_space_group_name_H-M 'I 41/a m d'
_symmetry_Int_Tables_number 141
_cell_length_a 3.707
_cell_length_b 3.707
_cell_length_c 22.550
_cell_angle_alpha 90.00
_cell_angle_beta 90.00
_cell_angle_gamma 90.00
loop_
_symmetry_equiv_pos_as_xyz
'x,y,z'
'-x,-y,-z'
'-y+1/4,x+3/4,z+1/4'
'y+1/4,-x+3/4,-z+1/4'
'-x+1/2,-y,z+1/2'
'x+1/2,y,-z+1/2'
'y+1/4,-x+1/4,z+3/4'
'-y+1/4,x+1/4,-z+3/4'
'x,-y,-z'
'-x,y,z'
'-y+1/4,-x+1/4,-z+3/4'
'y+1/4,x+1/4,z+3/4'
'-x+1/2,y,-z+1/2'
'x+1/2,-y,z+1/2'
'y+1/4,x+3/4,-z+1/4'
'-y+1/4,-x+3/4,z+1/4'
'x+1/2,y+1/2,z+1/2'
'-x+1/2,-y+1/2,-z+1/2'
'-y+3/4,x+1/4,z+3/4'
'y+3/4,-x+1/4,-z+3/4'
'-x,-y+1/2,z'
'x,y+1/2,-z'
'y+3/4,-x+3/4,z+1/4'
'-y+3/4,x+3/4,-z+1/4'
'x+1/2,-y+1/2,-z+1/2'
'-x+1/2,y+1/2,z+1/2'
'-y+3/4,-x+3/4,-z+1/4'
'y+3/4,x+3/4,z+1/4'
'-x,y+1/2,-z'
'x,-y+1/2,z'
'y+3/4,x+1/4,-z+3/4'
'-y+3/4,-x+1/4,z+3/4'
loop_
_atom_site_label
_atom_site_type_symbol
_atom_site_fract_x
_atom_site_fract_y
_atom_site_fract_z
Cr1 Cr 0.000 0.250 0.293
Rh1 Rh 0.000 0.250 0.125
Rh2 Rh 0.000 0.250 0.791
```

## Properties
* density of states at the Fermi level: 19.92 states/eV/cell
* formation energy: -183 meV per atom

***

# 7
KRePb2 | SCAN | single point on PBEsol structure

```
data_KRePb2
_symmetry_space_group_name_H-M 'P 4/m m m'
_symmetry_Int_Tables_number 123
_symmetry_space_group_name_Hall '-P 4 2'
_cell_length_a 3.366
_cell_length_b 3.366
_cell_length_c 8.665
_cell_angle_alpha 90.00
_cell_angle_beta 90.00
_cell_angle_gamma 90.00
loop_
_atom_site_label
_atom_site_type_symbol
_atom_site_fract_x
_atom_site_fract_y
_atom_site_fract_z
K1 K 0.000 0.000 0.000
Re1 Re 0.000 0.000 0.500
Pb1 Pb 0.500 0.500 0.308
```

## Properties
* density of states at the Fermi level: 0.76 states/eV/cell
* distance to the lowest polymorph of the same formula: 0 meV/atom
* formation energy: 457 meV per atom

***

# 8
KBaMo2I | SCAN | single point on PBEsol structure

```
data_KBaMo2I
_symmetry_space_group_name_H-M 'P 4/m m m'
_symmetry_Int_Tables_number 123
_symmetry_space_group_name_Hall '-P 4 2'
_cell_length_a 5.123
_cell_length_b 5.123
_cell_length_c 6.442
_cell_angle_alpha 90.00
_cell_angle_beta 90.00
_cell_angle_gamma 90.00
loop_
_atom_site_label
_atom_site_type_symbol
_atom_site_fract_x
_atom_site_fract_y
_atom_site_fract_z
K1 K 0.000 0.000 0.000
Ba1 Ba 0.000 0.000 0.500
Mo1 Mo 0.000 0.500 0.000
I1 I 0.500 0.500 0.500
```

## Properties
* ΔE_f (raw): 10.4 eV per formula unit
* density of states at the Fermi level: 3.63 states/eV/cell

***

# 9
K3DyAs2S8 | SCAN | single point on PBEsol structure

```
data_K3DyAs2S8
_symmetry_space_group_name_H-M 'C 1 2/c 1'
_symmetry_Int_Tables_number 15
_cell_length_a 10.250
_cell_length_b 18.700
_cell_length_c 8.855
_cell_angle_alpha 90.00
_cell_angle_beta 117.55
_cell_angle_gamma 90.00
loop_
_symmetry_equiv_pos_as_xyz
'x,y,z'
'-x,-y,-z'
'-x,y,-z+1/2'
'x,-y,z+1/2'
'x+1/2,y+1/2,z'
'-x+1/2,-y+1/2,-z'
'-x+1/2,y+1/2,-z+1/2'
'x+1/2,-y+1/2,z+1/2'
loop_
_atom_site_label
_atom_site_type_symbol
_atom_site_fract_x
_atom_site_fract_y
_atom_site_fract_z
K1 K 0.000 0.000 0.000
K2 K 0.000 0.242 0.250
K3 K 0.000 0.495 0.250
Dy1 Dy 0.000 0.257 0.750
As1 As 0.218 0.376 0.098
S1 S 0.019 0.355 0.530
S2 S 0.179 0.178 0.655
S3 S 0.201 0.175 0.065
S4 S 0.247 0.011 0.875
```

## Properties
* ΔE_f (raw): -14.9 eV per formula unit
* density of states at the Fermi level: 0.00 states/eV/cell

***

# 10
CsICl2 | SCAN | single point on PBEsol structure

```
data_CsICl2
_symmetry_space_group_name_H-M 'R -3 m'
_symmetry_Int_Tables_number 166
_symmetry_space_group_name_Hall '-R 3 2"'
_cell_length_a 5.6380
_cell_length_b 5.6380
_cell_length_c 22.2986
_cell_angle_alpha 90.00
_cell_angle_beta 90.00
_cell_angle_gamma 120.00
loop_
_atom_site_label
_atom_site_type_symbol
_atom_site_fract_x
_atom_site_fract_y
_atom_site_fract_z
Cs1 Cs 0.0000 0.0000 0.0000
I1 I 0.0000 0.0000 0.5000
Cl1 Cl 0.0000 0.0000 0.3856
```

## Properties
* ΔE_f (raw): -4.9 eV per formula unit
* density of states at the Fermi level: 0.00 states/eV/cell

***

# 11
ScMn6Ge6 | SCAN | single point on PBEsol structure

```
data_ScMn6Ge6
_symmetry_space_group_name_H-M 'P 6/m m m'
_symmetry_Int_Tables_number 191
_symmetry_space_group_name_Hall '-P 6 2'
_cell_length_a 5.0409
_cell_length_b 5.0409
_cell_length_c 7.9743
_cell_angle_alpha 90.00
_cell_angle_beta 90.00
_cell_angle_gamma 120.00
loop_
_atom_site_label
_atom_site_type_symbol
_atom_site_fract_x
_atom_site_fract_y
_atom_site_fract_z
Sc1 Sc 0.0000 0.0000 0.0000
Mn1 Mn 0.0000 0.5000 0.2492
Ge1 Ge 0.0000 0.0000 0.3391
Ge2 Ge 0.3333 0.6667 0.0000
Ge3 Ge 0.3333 0.6667 0.5000
```

## Properties
* density of states at the Fermi level: 3.56 states/eV/cell
* formation energy: -447 meV per atom

***

# 12
Dy10Al4Ge11 | SCAN | single point on PBEsol structure

```
data_Dy10Al4Ge11
_symmetry_space_group_name_H-M 'C 1 2/m 1'
_symmetry_Int_Tables_number 12
_cell_length_a 10.426
_cell_length_b 4.051
_cell_length_c 24.691
_cell_angle_alpha 90.00
_cell_angle_beta 98.78
_cell_angle_gamma 90.00
loop_
_symmetry_equiv_pos_as_xyz
'x,y,z'
'-x,-y,-z'
'-x,y,-z'
'x,-y,z'
'x+1/2,y+1/2,z'
'-x+1/2,-y+1/2,-z'
'-x+1/2,y+1/2,-z'
'x+1/2,-y+1/2,z'
loop_
_atom_site_label
_atom_site_type_symbol
_atom_site_fract_x
_atom_site_fract_y
_atom_site_fract_z
Dy1 Dy 0.019 0.000 0.157
Dy2 Dy 0.090 0.500 0.644
Dy3 Dy 0.129 0.500 0.958
Dy4 Dy 0.154 0.000 0.443
Dy5 Dy 0.239 0.000 0.759
Al1 Al 0.086 0.000 0.298
Al2 Al 0.195 0.500 0.099
Ge1 Ge 0.000 0.500 0.500
Ge2 Ge 0.027 0.500 0.758
Ge3 Ge 0.084 0.000 0.043
Ge4 Ge 0.134 0.000 0.561
Ge5 Ge 0.194 0.500 0.355
Ge6 Ge 0.194 0.500 0.844
```

## Properties
* density of states at the Fermi level: 25.13 states/eV/cell
* formation energy: -813 meV per atom

***

# 13
LaAl5Ni2 | SCAN | single point on PBEsol structure

```
data_LaAl5Ni2
_symmetry_space_group_name_H-M 'I m m m'
_symmetry_Int_Tables_number 71
_symmetry_space_group_name_Hall '-I 2 2'
_cell_length_a 3.995
_cell_length_b 6.991
_cell_length_c 9.590
_cell_angle_alpha 90.00
_cell_angle_beta 90.00
_cell_angle_gamma 90.00
loop_
_atom_site_label
_atom_site_type_symbol
_atom_site_fract_x
_atom_site_fract_y
_atom_site_fract_z
La1 La 0.000 0.000 0.000
Al1 Al 0.000 0.190 0.341
Al2 Al 0.000 0.500 0.000
Ni1 Ni 0.000 0.500 0.237
```

## Properties
* density of states at the Fermi level: 4.53 states/eV/cell
* formation energy: -676 meV per atom

***

# 14
TcAgRu2 | SCAN | single point on PBEsol structure

```
data_TcAgRu2
_symmetry_space_group_name_H-M 'P 4/m m m'
_symmetry_Int_Tables_number 123
_symmetry_space_group_name_Hall '-P 4 2'
_cell_length_a 4.532
_cell_length_b 4.532
_cell_length_c 2.796
_cell_angle_alpha 90.00
_cell_angle_beta 90.00
_cell_angle_gamma 90.00
loop_
_atom_site_label
_atom_site_type_symbol
_atom_site_fract_x
_atom_site_fract_y
_atom_site_fract_z
Tc1 Tc 0.000 0.000 0.000
Ag1 Ag 0.500 0.500 0.000
Ru1 Ru 0.000 0.500 0.500
```

## Properties
* density of states at the Fermi level: 3.64 states/eV/cell
* distance to the lowest polymorph of the same formula: 188 meV/atom
* formation energy: 683 meV per atom

***

# 15
LiLaSb | SCAN | single point on PBEsol structure

```
data_LiLaSb
_symmetry_space_group_name_H-M 'P 3 m 1'
_symmetry_Int_Tables_number 156
_cell_length_a 3.4198
_cell_length_b 3.4198
_cell_length_c 8.1083
_cell_angle_alpha 90.00
_cell_angle_beta 90.00
_cell_angle_gamma 120.00
loop_
_symmetry_equiv_pos_as_xyz
'x,y,z'
'-y,x-y,z'
'-x+y,-x,z'
'-y,-x,z'
'-x+y,y,z'
'x,x-y,z'
loop_
_atom_site_label
_atom_site_type_symbol
_atom_site_fract_x
_atom_site_fract_y
_atom_site_fract_z
Li1 Li 0.0000 0.0000 0.0000
La1 La 0.6667 0.3333 0.3990
Sb1 Sb 0.3333 0.6667 0.7274
```

## Properties
* ΔE_f (raw): -0.7 eV per formula unit
* density of states at the Fermi level: 2.59 states/eV/cell
* distance to the lowest polymorph of the same formula: 789 meV/atom

***

# 16
AlFeBr2 | SCAN | single point on PBEsol structure

```
data_AlFeBr2
_symmetry_space_group_name_H-M 'P 4/m m m'
_symmetry_Int_Tables_number 123
_symmetry_space_group_name_Hall '-P 4 2'
_cell_length_a 4.949
_cell_length_b 4.949
_cell_length_c 3.301
_cell_angle_alpha 90.00
_cell_angle_beta 90.00
_cell_angle_gamma 90.00
loop_
_atom_site_label
_atom_site_type_symbol
_atom_site_fract_x
_atom_site_fract_y
_atom_site_fract_z
Al1 Al 0.000 0.000 0.000
Fe1 Fe 0.500 0.500 0.000
Br1 Br 0.000 0.500 0.500
```

## Properties
* ΔE_f (raw): 1.1 eV per formula unit
* density of states at the Fermi level: 0.88 states/eV/cell
* distance to the lowest polymorph of the same formula: 410 meV/atom

***

# 17
Cr3Fe | SCAN | single point on PBEsol structure

```
data_Cr3Fe
_symmetry_space_group_name_H-M 'C m m m'
_symmetry_Int_Tables_number 65
_symmetry_space_group_name_Hall '-C 2 2'
_cell_length_a 2.829
_cell_length_b 3.910
_cell_length_c 7.917
_cell_angle_alpha 90.00
_cell_angle_beta 90.00
_cell_angle_gamma 90.00
loop_
_atom_site_label
_atom_site_type_symbol
_atom_site_fract_x
_atom_site_fract_y
_atom_site_fract_z
Cr1 Cr 0.000 0.000 0.000
Cr2 Cr 0.000 0.500 0.251
Fe1 Fe 0.000 0.000 0.500
```

## Properties
* density of states at the Fermi level: 5.46 states/eV/cell
* formation energy: 45 meV per atom

***

# 18
AlFeCu2 | SCAN | single point on PBEsol structure

```
data_AlFeCu2
_symmetry_space_group_name_H-M 'C 1 2/m 1'
_symmetry_Int_Tables_number 12
_cell_length_a 8.599
_cell_length_b 2.593
_cell_length_c 4.353
_cell_angle_alpha 90.00
_cell_angle_beta 101.75
_cell_angle_gamma 90.00
loop_
_symmetry_equiv_pos_as_xyz
'x,y,z'
'-x,-y,-z'
'-x,y,-z'
'x,-y,z'
'x+1/2,y+1/2,z'
'-x+1/2,-y+1/2,-z'
'-x+1/2,y+1/2,-z'
'x+1/2,-y+1/2,z'
loop_
_atom_site_label
_atom_site_type_symbol
_atom_site_fract_x
_atom_site_fract_y
_atom_site_fract_z
Al1 Al 0.000 0.000 0.000
Fe1 Fe 0.000 0.500 0.500
Cu1 Cu 0.249 0.000 0.744
```

## Properties
* density of states at the Fermi level: 4.73 states/eV/cell
* formation energy: -102 meV per atom

***

# 19
TaP2Au | SCAN | single point on PBEsol structure

```
data_TaP2Au
_symmetry_space_group_name_H-M 'I -4 2 d'
_symmetry_Int_Tables_number 122
_symmetry_space_group_name_Hall 'I -4 2bw'
_cell_length_a 5.589
_cell_length_b 5.589
_cell_length_c 10.925
_cell_angle_alpha 90.00
_cell_angle_beta 90.00
_cell_angle_gamma 90.00
loop_
_atom_site_label
_atom_site_type_symbol
_atom_site_fract_x
_atom_site_fract_y
_atom_site_fract_z
Ta1 Ta 0.000 0.000 0.000
P1 P 0.245 0.250 0.125
Au1 Au 0.000 0.000 0.500
```

## Properties
* density of states at the Fermi level: 4.75 states/eV/cell
* distance to the lowest polymorph of the same formula: 0 meV/atom
* formation energy: -74 meV per atom

***

# 20
Ba2Tc2W | SCAN | single point on PBEsol structure

```
data_Ba2Tc2W
_symmetry_space_group_name_H-M 'I 4/m m m'
_symmetry_Int_Tables_number 139
_symmetry_space_group_name_Hall '-I 4 2'
_cell_length_a 4.074
_cell_length_b 4.074
_cell_length_c 14.530
_cell_angle_alpha 90.00
_cell_angle_beta 90.00
_cell_angle_gamma 90.00
loop_
_atom_site_label
_atom_site_type_symbol
_atom_site_fract_x
_atom_site_fract_y
_atom_site_fract_z
Ba1 Ba 0.000 0.500 0.250
Tc1 Tc 0.000 0.000 0.071
W1 W 0.000 0.000 0.500
```

## Properties
* density of states at the Fermi level: 11.45 states/eV/cell
* formation energy: 2050 meV per atom